A geometry-optimized Ca2Sn3Pd4Au structure, computed with PBE-GGA.

Mass density, Mg/m³: 7.9
Energy relative to the elements, eV/f.u.: -6.29

Cell and atoms, written as CIF:
```
data_Ca2Sn3Pd4Au
_cell_length_a 4.375
_cell_length_b 4.375
_cell_length_c 11.568
_cell_angle_alpha 90.00
_cell_angle_beta 90.00
_cell_angle_gamma 90.00
_symmetry_space_group_name_H-M 'P -4 m 2'
_symmetry_Int_Tables_number 115
loop_
_symmetry_equiv_pos_as_xyz
'x,y,z'
'y,-x,-z'
'-x,-y,z'
'-y,x,-z'
'-x,y,z'
'-y,-x,-z'
'x,-y,z'
'y,x,-z'
loop_
_atom_site_label
_atom_site_fract_x
_atom_site_fract_y
_atom_site_fract_z
Ca1 0.000 0.500 0.237
Sn1 0.000 0.000 0.000
Sn2 0.000 0.500 0.631
Pd1 0.000 0.000 0.500
Pd2 0.000 0.500 0.855
Pd3 0.500 0.500 0.500
Au1 0.500 0.500 0.000
```